Entry from Alexandria via LeMat-Bulk: a relaxed structure of BiH2Ru (GGA-PBE).

Values from the calculation:
Space group: I-42d (122)
Excess energy over the best structure of this formula in the dataset (eV per atom): 0.255

Unit cell a=4.441 b=4.441 c=6.061 alpha=68.51 beta=68.51 gamma=90.00
Atoms (fractional coordinates):
Ru  0.500  0.500  0.000
Ru  0.250  0.750  0.500
H  0.367  0.625  0.250
H  0.375  0.617  0.750
H  0.383  0.125  0.250
H  0.875  0.633  0.750
Bi  0.750  0.250  0.500
Bi  0.000  0.000  0.000